DFT (PBE) results for crystalline TiBiPt at its relaxed geometry.

Cell: 4.471 4.472 8.652 Å, 75.09 90.00 119.99°
Fractional positions:
Ti 0.128 0.256 0.116
Ti 0.872 0.744 0.884
Pt 0.773 0.546 0.182
Pt 0.227 0.454 0.818
Bi 0.388 0.776 0.338
Bi 0.612 0.224 0.662

Density in g/cm3: 10.5
Total energy in eV per cell: -38.86
DOS(E_F) in states/eV per atom: 0.57
ΔE_f in eV/atom: -0.54
Space-group type: C2/m